# 1
Entry from Alexandria via LeMat-Bulk: a relaxed Er4GeTe2P crystal (PBE-GGA).

The structure belongs to space group P2/m (No. 10); the cell edges are 7.1846, 4.1491 and 7.3829 Å and the angles 90.00°, 108.88° and 90.00°. The asymmetric unit holds Er at (0.2361, 0.0000, 0.2134), Er at (0.2597, 0.5000, 0.7833), Ge at (0.5000, 0.0000, 0.0000), Te at (0.0000, 0.0000, 0.5000), Te at (0.5000, 0.5000, 0.5000) and P at (0.0000, 0.5000, 0.0000).

Its raw formation energy is -1.3486 eV per atom. The calculation puts the density of states at the Fermi level at 1.9 states/eV/cell. The crystal system is monoclinic. The uncorrected energy comes out at -5.669 eV per atom.

=====

# 2
Entry from Alexandria via LeMat-Bulk: a relaxed AlGe3Cl crystal (PBE-GGA).

The structure belongs to space group Pm-3m (No. 221); the cell edges are 4.9720, 4.9720 and 4.9720 Å and the angles 90.00°, 90.00° and 90.00°. The asymmetric unit holds Al at (0.0000, 0.0000, 0.0000), Ge at (0.0000, 0.0000, 0.5000) and Cl at (0.5000, 0.5000, 0.5000).

Its raw formation energy is 0.4953 eV per atom. The calculation puts the density of states at the Fermi level at 5.4 states/eV/cell. The crystal system is cubic. The uncorrected energy comes out at -3.393 eV per atom.

=====

# 3
Entry from Alexandria via LeMat-Bulk: a relaxed CaBe2Si crystal (PBE-GGA).

The structure belongs to space group R3m (No. 160, hexagonal axes); the cell edges are 3.7187, 3.7187 and 16.1338 Å and the angles 90.00°, 90.00° and 120.00°. The asymmetric unit holds Ca at (0.0000, 0.0000, 0.0000), Be at (0.0000, 0.0000, 0.1958), Be at (0.0000, 0.0000, 0.5228) and Si at (0.0000, 0.0000, 0.8014).

Its raw formation energy is -0.1271 eV per atom. The calculation puts the density of states at the Fermi level at 3.4 states/eV/cell. The crystal system is trigonal. The uncorrected energy comes out at -3.846 eV per atom.

=====

# 4
Entry from Alexandria via LeMat-Bulk: a relaxed LaInMo3 crystal (PBE-GGA).

The structure belongs to space group Pm-3m (No. 221); the cell edges are 5.0134, 5.0134 and 5.0134 Å and the angles 90.00°, 90.00° and 90.00°. The asymmetric unit holds La at (0.0000, 0.0000, 0.0000), In at (0.5000, 0.5000, 0.5000) and Mo at (0.0000, 0.5000, 0.5000).

The value obtained for the formation energy is 1.802 eV/atom. The calculation puts the density of states at the Fermi level at 6.9 states/eV/cell. The crystal system is cubic. The uncorrected energy comes out at -6.230 eV per atom.

=====

# 5
Entry from Alexandria via LeMat-Bulk: a relaxed Ti4V2Si crystal (PBE-GGA).

The structure belongs to space group I4/mmm (No. 139); the cell edges are 4.6641, 4.6641 and 11.8311 Å and the angles 90.00°, 90.00° and 90.00°. The asymmetric unit holds Ti at (0.0000, 0.0000, 0.2029), Ti at (0.0000, 0.5000, 0.0000), V at (0.0000, 0.0000, 0.3989) and Si at (0.0000, 0.0000, 0.0000).

Its raw formation energy is 0.6219 eV per atom. The calculation puts the density of states at the Fermi level at 14.4 states/eV/cell. The crystal system is tetragonal. The uncorrected energy comes out at -7.270 eV per atom.

=====

# 6
Entry from Alexandria via LeMat-Bulk: a relaxed CaCoSe4 crystal (PBE-GGA).

The structure belongs to space group F-43m (No. 216); the cell edges are 8.1470, 8.1470 and 8.1470 Å and the angles 90.00°, 90.00° and 90.00°. The asymmetric unit holds Ca at (0.0000, 0.0000, 0.0000), Co at (0.2500, 0.2500, 0.7500) and Se at (0.1236, 0.1236, 0.3764).

Its raw formation energy is 0.2991 eV per atom. The calculation puts the density of states at the Fermi level at 8.8 states/eV/cell. The crystal system is cubic. The uncorrected energy comes out at -3.542 eV per atom.

=====

# 7
Entry from Alexandria via LeMat-Bulk: a relaxed Pm8PrCo2 crystal (PBE-GGA).

The structure belongs to space group C2/m (No. 12); the cell edges are 8.5718, 13.8621 and 5.6723 Å and the angles 90.00°, 100.58° and 90.00°. The asymmetric unit holds Pm at (0.0000, 0.2413, 0.0000), Pm at (0.0926, 0.0000, 0.7906), Pm at (0.2088, 0.3688, 0.5646), Pr at (0.0000, 0.5000, 0.0000) and Co at (0.0000, 0.2030, 0.5000).

The value obtained for the formation energy is 0.062 eV/atom. The calculation puts the density of states at the Fermi level at 31.5 states/eV/cell. The crystal system is monoclinic. The uncorrected energy comes out at -5.119 eV per atom.

=====

# 8
Entry from Alexandria via LeMat-Bulk: a relaxed La6CeCo2 crystal (PBE-GGA).

The structure belongs to space group P-1 (No. 2); the cell edges are 6.0428, 6.4404 and 7.7261 Å and the angles 81.93°, 84.15° and 62.41°. The asymmetric unit holds La at (0.0195, 0.1658, 0.3190), La at (0.1796, 0.6346, 0.1115), La at (0.3834, 0.2894, 0.5721), Ce at (0.5000, 0.0000, 0.0000) and Co at (0.3972, 0.8679, 0.7774).

The value obtained for the formation energy is -0.061 eV/atom. The calculation puts the density of states at the Fermi level at 12.6 states/eV/cell. The crystal system is triclinic. The uncorrected energy comes out at -5.584 eV per atom.

=====

# 9
Entry from Alexandria via LeMat-Bulk: a relaxed Tm5MgCo crystal (PBE-GGA).

The structure belongs to space group C2/c (No. 15); the cell edges are 10.8135, 6.7948 and 11.2178 Å and the angles 90.00°, 112.34° and 90.00°. The asymmetric unit holds Tm at (0.0000, 0.0267, 0.2500), Tm at (0.1287, 0.3203, 0.0494), Tm at (0.2130, 0.1807, 0.6299), Mg at (0.0000, 0.4559, 0.7500) and Co at (0.0000, 0.0000, 0.0000).

The value obtained for the formation energy is 0.029 eV/atom. The calculation puts the density of states at the Fermi level at 30.9 states/eV/cell. The crystal system is monoclinic. The uncorrected energy comes out at -4.408 eV per atom.

=====

# 10
Entry from Alexandria via LeMat-Bulk: a relaxed Cs2K2Ca crystal (PBE-GGA).

The structure belongs to space group P4/mbm (No. 127); the cell edges are 12.5139, 12.5139 and 5.0280 Å and the angles 90.00°, 90.00° and 90.00°. The asymmetric unit holds Cs at (0.1397, 0.3603, 0.0000), K at (0.1661, 0.6661, 0.5000) and Ca at (0.0000, 0.0000, 0.0000).

The value obtained for the formation energy is 0.241 eV/atom. The calculation puts the density of states at the Fermi level at 10.6 states/eV/cell. The crystal system is tetragonal. The uncorrected energy comes out at -0.940 eV per atom.

=====

# 11
Entry from Alexandria via LeMat-Bulk: a relaxed B3ICl crystal (PBE-GGA).

The structure belongs to space group Pm-3m (No. 221); the cell edges are 4.7128, 4.7128 and 4.7128 Å and the angles 90.00°, 90.00° and 90.00°. The asymmetric unit holds B at (0.0000, 0.0000, 0.5000), I at (0.0000, 0.0000, 0.0000) and Cl at (0.5000, 0.5000, 0.5000).

Its raw formation energy is 2.6317 eV per atom. The calculation puts the density of states at the Fermi level at 3.9 states/eV/cell. The crystal system is cubic. The uncorrected energy comes out at -2.054 eV per atom.

=====

# 12
Entry from Alexandria via LeMat-Bulk: a relaxed Sm5Y3Sn2 crystal (PBE-GGA).

The structure belongs to space group P-1 (No. 2); the cell edges are 6.5414, 9.9589 and 9.9724 Å and the angles 101.90°, 94.39° and 94.41°. The asymmetric unit holds Sm at (0.0561, 0.1765, 0.2825), Sm at (0.1039, 0.2933, 0.9688), Sm at (0.2500, 0.9654, 0.0346), Sm at (0.3961, 0.0304, 0.7067), Sm at (0.4443, 0.7173, 0.8240), Y at (0.0681, 0.8268, 0.3916), Y at (0.2502, 0.5086, 0.4929), Y at (0.4317, 0.6088, 0.1735), Sn at (0.0482, 0.4952, 0.7691) and Sn at (0.4499, 0.2308, 0.5053).

The value obtained for the formation energy is -0.276 eV/atom. The calculation puts the density of states at the Fermi level at 23.0 states/eV/cell. The crystal system is triclinic. The uncorrected energy comes out at -5.375 eV per atom.